No. 1
VTeS2: optimized geometry, PBE-GGA.

Values from the calculation:
As for the symmetry: R-3m. The value obtained for the uncorrected energy is -5.67 eV/atom. The crystal system is trigonal. The calculation puts the energy relative to the elements, uncorrected at -12.430 kcal/mol of atoms.

POSCAR file:
```
VTeS2
1.0
3.187 0.000 0.000
-1.593 2.760 0.000
0.000 0.000 30.851
V Te S
3 3 6
Direct
0.000 0.000 0.000 V
0.333 0.667 0.667 V
0.667 0.333 0.333 V
0.000 0.000 0.500 Te
0.333 0.667 0.167 Te
0.667 0.333 0.833 Te
0.000 0.000 0.381 S
0.000 0.000 0.619 S
0.333 0.667 0.048 S
0.333 0.667 0.286 S
0.667 0.333 0.714 S
0.667 0.333 0.952 S
```


No. 2
VTeS: optimized geometry, PBE-GGA.

Values from the calculation:
As for the energy above the most stable polymorph in this dataset: 68 meV per atom. As for the symmetry: C2/m. The value obtained for the uncorrected energy is -6.05 eV/atom. The crystal system is monoclinic. The calculation puts the energy relative to the elements, uncorrected at -13.583 kcal/mol of atoms.

POSCAR file:
```
VTeS
1.0
5.951 0.000 0.000
0.000 3.436 0.000
-1.940 0.000 13.521
V Te S
4 4 4
Direct
0.071 0.000 0.213 V
0.429 0.500 0.787 V
0.571 0.500 0.213 V
0.929 0.000 0.787 V
0.217 0.000 0.648 Te
0.283 0.500 0.352 Te
0.717 0.500 0.648 Te
0.783 0.000 0.352 Te
0.126 0.500 0.880 S
0.374 0.000 0.120 S
0.626 0.000 0.880 S
0.874 0.500 0.120 S
```


No. 3
V2TeS: optimized geometry, PBE-GGA.

Values from the calculation:
As for the energy above the most stable polymorph in this dataset: 0 meV per atom. As for the symmetry: R-3m. The value obtained for the uncorrected energy is -6.76 eV/atom. The crystal system is trigonal. The calculation puts the energy relative to the elements, uncorrected at -8.797 kcal/mol of atoms.

POSCAR file:
```
V2TeS
1.0
3.630 0.000 0.000
-1.815 3.144 0.000
0.000 0.000 18.260
V Te S
6 3 3
Direct
0.000 0.000 0.222 V
0.000 0.000 0.778 V
0.333 0.667 0.445 V
0.333 0.667 0.889 V
0.667 0.333 0.111 V
0.667 0.333 0.555 V
0.000 0.000 0.000 Te
0.333 0.667 0.667 Te
0.667 0.333 0.333 Te
0.000 0.000 0.500 S
0.333 0.667 0.167 S
0.667 0.333 0.833 S
```


No. 4
V4Te5S: optimized geometry, PBE-GGA.

Values from the calculation:
As for the symmetry: C2/m. The value obtained for the uncorrected energy is -5.97 eV/atom. The crystal system is monoclinic. The calculation puts the energy relative to the elements, uncorrected at -7.766 kcal/mol of atoms.

POSCAR file:
```
V4Te5S
1.0
8.320 -1.774 0.000
8.320 1.774 0.000
-1.688 0.000 7.414
V Te S
4 5 1
Direct
0.002 0.002 0.308 V
0.364 0.364 0.428 V
0.636 0.636 0.572 V
0.998 0.998 0.692 V
0.160 0.160 0.844 Te
0.173 0.173 0.335 Te
0.500 0.500 0.000 Te
0.827 0.827 0.665 Te
0.840 0.840 0.156 Te
0.500 0.500 0.500 S
```


No. 5
VTe2S: optimized geometry, PBE-GGA.

Values from the calculation:
As for the symmetry: R-3m. The value obtained for the uncorrected energy is -4.80 eV/atom. The crystal system is trigonal. The calculation puts the energy relative to the elements, uncorrected at 1.835 kcal/mol of atoms.

POSCAR file:
```
VTe2S
1.0
3.885 0.000 0.000
-1.943 3.365 0.000
0.000 0.000 24.593
V Te S
3 6 3
Direct
0.000 0.000 0.000 V
0.333 0.667 0.667 V
0.667 0.333 0.333 V
0.000 0.000 0.397 Te
0.000 0.000 0.603 Te
0.333 0.667 0.064 Te
0.333 0.667 0.270 Te
0.667 0.333 0.730 Te
0.667 0.333 0.936 Te
0.000 0.000 0.500 S
0.333 0.667 0.167 S
0.667 0.333 0.833 S
```


No. 6
VTeS: optimized geometry, PBE-GGA.

Values from the calculation:
As for the energy above the most stable polymorph in this dataset: 191 meV per atom. As for the symmetry: P2_1/c. The value obtained for the uncorrected energy is -5.93 eV/atom. The crystal system is monoclinic. The calculation puts the energy relative to the elements, uncorrected at -10.734 kcal/mol of atoms.

POSCAR file:
```
VTeS
1.0
6.558 0.000 0.000
0.000 6.805 0.000
-2.803 0.000 6.013
V Te S
4 4 4
Direct
0.179 0.078 0.466 V
0.179 0.422 0.966 V
0.821 0.578 0.034 V
0.821 0.922 0.534 V
0.442 0.066 0.223 Te
0.442 0.434 0.723 Te
0.558 0.566 0.277 Te
0.558 0.934 0.777 Te
0.016 0.193 0.679 S
0.016 0.307 0.179 S
0.984 0.693 0.821 S
0.984 0.807 0.321 S
```


No. 7
VTeS2: optimized geometry, PBE-GGA.

Values from the calculation:
As for the symmetry: I-42d. The value obtained for the uncorrected energy is -5.19 eV/atom. The crystal system is tetragonal. The calculation puts the energy relative to the elements, uncorrected at -1.434 kcal/mol of atoms.

POSCAR file:
```
VTeS2
1.0
6.393 0.000 0.000
0.000 6.393 0.000
0.000 0.000 9.604
V Te S
4 4 8
Direct
0.000 0.000 0.000 V
0.000 0.500 0.250 V
0.500 0.000 0.750 V
0.500 0.500 0.500 V
0.000 0.000 0.500 Te
0.000 0.500 0.750 Te
0.500 0.000 0.250 Te
0.500 0.500 0.000 Te
0.157 0.250 0.125 S
0.250 0.657 0.375 S
0.250 0.843 0.875 S
0.343 0.250 0.625 S
0.657 0.750 0.625 S
0.750 0.157 0.875 S
0.750 0.343 0.375 S
0.843 0.750 0.125 S
```


No. 8
VTeS: optimized geometry, PBE-GGA.

Values from the calculation:
As for the energy above the most stable polymorph in this dataset: 63 meV per atom. As for the symmetry: P3m1. The value obtained for the uncorrected energy is -6.06 eV/atom. The crystal system is trigonal. The calculation puts the energy relative to the elements, uncorrected at -13.684 kcal/mol of atoms.

POSCAR file:
```
VTeS
1.0
3.430 0.000 0.000
-1.715 2.971 0.000
0.000 0.000 6.680
V Te S
1 1 1
Direct
0.000 0.000 0.000 V
0.333 0.667 0.717 Te
0.667 0.333 0.189 S
```


No. 9
V4Te3S2: optimized geometry, PBE-GGA.

Values from the calculation:
As for the symmetry: C2/m. The value obtained for the uncorrected energy is -6.44 eV/atom. The crystal system is monoclinic. The calculation puts the energy relative to the elements, uncorrected at -9.847 kcal/mol of atoms.

POSCAR file:
```
V4Te3S2
1.0
6.194 -1.720 0.000
6.194 1.720 0.000
-1.438 0.000 7.915
V Te S
4 3 2
Direct
0.072 0.072 0.151 V
0.301 0.301 0.402 V
0.699 0.699 0.598 V
0.928 0.928 0.849 V
0.000 0.000 0.500 Te
0.392 0.392 0.107 Te
0.608 0.608 0.893 Te
0.317 0.317 0.686 S
0.683 0.683 0.314 S
```


No. 10
VTeS2: optimized geometry, PBE-GGA.

Values from the calculation:
As for the symmetry: P1. The value obtained for the uncorrected energy is -5.75 eV/atom. The crystal system is triclinic. The calculation puts the energy relative to the elements, uncorrected at -14.271 kcal/mol of atoms.

POSCAR file:
```
VTeS2
1.0
3.153 0.000 0.000
0.000 5.526 0.000
0.013 1.440 10.838
V Te S
2 2 4
Direct
0.000 0.000 0.000 V
0.500 0.500 0.000 V
0.484 0.239 0.550 Te
0.485 0.762 0.449 Te
0.000 0.368 0.864 S
0.499 0.132 0.136 S
0.500 0.868 0.864 S
0.999 0.632 0.136 S
```


No. 11
VTeW2S: optimized geometry, PBE-GGA.

Values from the calculation:
As for the symmetry: P4/mmm. The value obtained for the uncorrected energy is -6.72 eV/atom. The crystal system is tetragonal. The calculation puts the energy relative to the elements, uncorrected at 40.093 kcal/mol of atoms.

POSCAR file:
```
VTeW2S
1.0
4.675 0.000 0.000
0.000 4.675 0.000
0.000 0.000 4.780
V Te W S
1 1 2 1
Direct
0.000 0.000 0.000 V
0.000 0.000 0.500 Te
0.000 0.500 0.000 W
0.500 0.000 0.000 W
0.500 0.500 0.500 S
```


No. 12
TeW2S2: optimized geometry, PBE-GGA.

Values from the calculation:
As for the energy above the most stable polymorph in this dataset: 397 meV per atom. As for the symmetry: P4/mbm. The value obtained for the uncorrected energy is -6.86 eV/atom. The crystal system is tetragonal. The calculation puts the energy relative to the elements, uncorrected at 13.961 kcal/mol of atoms.

POSCAR file:
```
TeW2S2
1.0
8.104 0.000 0.000
0.000 8.104 0.000
0.000 0.000 2.920
Te W S
2 4 4
Direct
0.000 0.000 0.000 Te
0.500 0.500 0.000 Te
0.116 0.384 0.500 W
0.384 0.884 0.500 W
0.616 0.116 0.500 W
0.884 0.616 0.500 W
0.129 0.629 0.000 S
0.371 0.129 0.000 S
0.629 0.871 0.000 S
0.871 0.371 0.000 S
```


No. 13
Te3WS: optimized geometry, PBE-GGA.

Values from the calculation:
As for the energy above the most stable polymorph in this dataset: 0 meV per atom. As for the symmetry: Pm-3m. The value obtained for the uncorrected energy is -4.54 eV/atom. The crystal system is cubic. The calculation puts the energy relative to the elements, uncorrected at 17.476 kcal/mol of atoms.

POSCAR file:
```
Te3WS
1.0
5.235 0.000 0.000
0.000 5.235 0.000
0.000 0.000 5.235
Te W S
3 1 1
Direct
0.000 0.000 0.500 Te
0.000 0.500 0.000 Te
0.500 0.000 0.000 Te
0.000 0.000 0.000 W
0.500 0.500 0.500 S
```